[1]
Compound: Li12Zn5Ag2
Source: Alexandria via LeMat-Bulk
Functional: PBE-GGA
Structure: optimized geometry

Values from the calculation:
The value obtained for the density is 3396 kg/m3. The formation energy is -103 meV/atom. For the density of states at the Fermi level, the calculation gives 6.66 states/eV/f.u. As for the symmetry: C2/m. The total magnetization is 0.000 μB/f.u.

Geometry as CIF:
```
data_Li12Zn5Ag2
_cell_length_a 7.7294
_cell_length_b 7.7294
_cell_length_c 5.4711
_cell_angle_alpha 93.25
_cell_angle_beta 93.25
_cell_angle_gamma 69.86
_symmetry_space_group_name_H-M 'P 1'
_symmetry_Int_Tables_number 1
loop_
_symmetry_equiv_pos_as_xyz
'x,y,z'
loop_
_atom_site_label
_atom_site_type_symbol
_atom_site_fract_x
_atom_site_fract_y
_atom_site_fract_z
_atom_site_occupancy
Li1 Li 0.0192 0.5702 0.7994 1
Li2 Li 0.0603 0.0603 0.2908 1
Li3 Li 0.1444 0.6501 0.4018 1
Li4 Li 0.3499 0.8556 0.5982 1
Li5 Li 0.3810 0.3810 0.0184 1
Li6 Li 0.4298 0.9808 0.2006 1
Li7 Li 0.5702 0.0192 0.7994 1
Li8 Li 0.6190 0.6190 0.9816 1
Li9 Li 0.6501 0.1444 0.4018 1
Li10 Li 0.8556 0.3499 0.5982 1
Li11 Li 0.9397 0.9397 0.7092 1
Li12 Li 0.9808 0.4298 0.2006 1
Zn1 Zn 0.1551 0.1551 0.8585 1
Zn2 Zn 0.2838 0.2838 0.5180 1
Zn3 Zn 0.5000 0.5000 0.5000 1
Zn4 Zn 0.7162 0.7162 0.4820 1
Zn5 Zn 0.8449 0.8449 0.1415 1
Ag1 Ag 0.2308 0.7692 0.0000 1
Ag2 Ag 0.7692 0.2308 0.0000 1
```

[2]
Compound: LaTmThZn
Source: Alexandria via LeMat-Bulk
Functional: PBE-GGA
Structure: optimized geometry

Values from the calculation:
The value obtained for the density is 8804 kg/m3. The formation energy is 66 meV/atom. The energy above the most stable polymorph in this dataset comes out at 216 meV per atom. For the density of states at the Fermi level, the calculation gives 6.02 states/eV/f.u. As for the symmetry: F-43m. The total magnetization is 0.001 μB/f.u.

Geometry as CIF:
```
data_LaTmThZn
_cell_length_a 5.4453
_cell_length_b 5.4453
_cell_length_c 5.4453
_cell_angle_alpha 60.00
_cell_angle_beta 60.00
_cell_angle_gamma 60.00
_symmetry_space_group_name_H-M 'P 1'
_symmetry_Int_Tables_number 1
loop_
_symmetry_equiv_pos_as_xyz
'x,y,z'
loop_
_atom_site_label
_atom_site_type_symbol
_atom_site_fract_x
_atom_site_fract_y
_atom_site_fract_z
_atom_site_occupancy
La1 La 0.0000 0.0000 0.0000 1
Tm1 Tm 0.2500 0.2500 0.2500 1
Th1 Th 0.5000 0.5000 0.5000 1
Zn1 Zn 0.7500 0.7500 0.7500 1
```

[3]
Compound: Tm5Th6
Source: Alexandria via LeMat-Bulk
Functional: PBE-GGA
Structure: optimized geometry

Values from the calculation:
The value obtained for the density is 10417 kg/m3. The formation energy is 192 meV/atom. For the density of states at the Fermi level, the calculation gives 17.12 states/eV/f.u. As for the symmetry: C2/m. The total magnetization is 0.000 μB/f.u.

Geometry as CIF:
```
data_Tm5Th6
_cell_length_a 6.4371
_cell_length_b 6.4371
_cell_length_c 10.9362
_cell_angle_alpha 90.05
_cell_angle_beta 90.05
_cell_angle_gamma 128.10
_symmetry_space_group_name_H-M 'P 1'
_symmetry_Int_Tables_number 1
loop_
_symmetry_equiv_pos_as_xyz
'x,y,z'
loop_
_atom_site_label
_atom_site_type_symbol
_atom_site_fract_x
_atom_site_fract_y
_atom_site_fract_z
_atom_site_occupancy
Tm1 Tm 0.0000 0.0000 0.0000 1
Tm2 Tm 0.3036 0.6964 0.0000 1
Tm3 Tm 0.3584 0.6416 0.5000 1
Tm4 Tm 0.6416 0.3584 0.5000 1
Tm5 Tm 0.6964 0.3036 0.0000 1
Th1 Th 0.1507 0.8477 0.2893 1
Th2 Th 0.1523 0.8493 0.7107 1
Th3 Th 0.4989 0.4989 0.2141 1
Th4 Th 0.5011 0.5011 0.7859 1
Th5 Th 0.8477 0.1507 0.2893 1
Th6 Th 0.8493 0.1523 0.7107 1
```

[4]
Compound: MoHN2
Source: Alexandria via LeMat-Bulk
Functional: PBE-GGA
Structure: optimized geometry

Values from the calculation:
The value obtained for the density is 5102 kg/m3. The energy above the most stable polymorph in this dataset comes out at 541 meV per atom. For the density of states at the Fermi level, the calculation gives 1.41 states/eV/f.u. As for the symmetry: R3m. The total magnetization is 0.000 μB/f.u.

Geometry as CIF:
```
data_MoHN2
_cell_length_a 5.9488
_cell_length_b 5.9488
_cell_length_c 5.9488
_cell_angle_alpha 27.89
_cell_angle_beta 27.89
_cell_angle_gamma 27.89
_symmetry_space_group_name_H-M 'P 1'
_symmetry_Int_Tables_number 1
loop_
_symmetry_equiv_pos_as_xyz
'x,y,z'
loop_
_atom_site_label
_atom_site_type_symbol
_atom_site_fract_x
_atom_site_fract_y
_atom_site_fract_z
_atom_site_occupancy
Mo1 Mo 0.0000 0.0000 0.0000 1
H1 H 0.7685 0.7685 0.7685 1
N1 N 0.2686 0.2686 0.2686 1
N2 N 0.4161 0.4161 0.4161 1
```

[5]
Compound: Rb2CO4
Source: Alexandria via LeMat-Bulk
Functional: PBE-GGA
Structure: optimized geometry

Values from the calculation:
The value obtained for the density is 2764 kg/m3. The energy above the most stable polymorph in this dataset comes out at 471 meV per atom. The uncorrected formation energy is -0.75 eV per atom. For the density of states at the Fermi level, the calculation gives 6.88 states/eV/f.u. As for the symmetry: I4/mmm. The total magnetization is 2.000 μB/f.u.

Geometry as CIF:
```
data_Rb2CO4
_cell_length_a 6.7745
_cell_length_b 6.7745
_cell_length_c 6.7745
_cell_angle_alpha 135.93
_cell_angle_beta 135.93
_cell_angle_gamma 64.08
_symmetry_space_group_name_H-M 'P 1'
_symmetry_Int_Tables_number 1
loop_
_symmetry_equiv_pos_as_xyz
'x,y,z'
loop_
_atom_site_label
_atom_site_type_symbol
_atom_site_fract_x
_atom_site_fract_y
_atom_site_fract_z
_atom_site_occupancy
Rb1 Rb 0.1385 0.1385 0.0000 1
Rb2 Rb 0.8615 0.8615 0.0000 1
C1 C 0.5000 0.5000 0.0000 1
O1 O 0.0000 0.5000 0.5000 1
O2 O 0.3972 0.3972 0.0000 1
O3 O 0.5000 0.0000 0.5000 1
O4 O 0.6028 0.6028 0.0000 1
```

[6]
Compound: ZnCuRh2
Source: Alexandria via LeMat-Bulk
Functional: PBE-GGA
Structure: optimized geometry

Values from the calculation:
The value obtained for the density is 10259 kg/m3. The formation energy is -119 meV/atom. For the density of states at the Fermi level, the calculation gives 5.64 states/eV/f.u. As for the symmetry: P4/mmm. The total magnetization is 0.000 μB/f.u.

Geometry as CIF:
```
data_ZnCuRh2
_cell_length_a 4.2218
_cell_length_b 4.2218
_cell_length_c 3.0402
_cell_angle_alpha 90.00
_cell_angle_beta 90.00
_cell_angle_gamma 90.00
_symmetry_space_group_name_H-M 'P 1'
_symmetry_Int_Tables_number 1
loop_
_symmetry_equiv_pos_as_xyz
'x,y,z'
loop_
_atom_site_label
_atom_site_type_symbol
_atom_site_fract_x
_atom_site_fract_y
_atom_site_fract_z
_atom_site_occupancy
Zn1 Zn 0.0000 0.0000 0.0000 1
Cu1 Cu 0.5000 0.5000 0.0000 1
Rh1 Rh 0.0000 0.5000 0.5000 1
Rh2 Rh 0.5000 0.0000 0.5000 1
```